Record 1
The following is a DFT calculation (PBE-GGA) of a relaxed Sm2Dy3YHo6 crystal.

Cell lengths 6.1461, 6.1461, 11.7571 Å; angles 94.98, 94.98, 119.95 degrees
Closest atoms and distances in Å follow each position.
Atoms (fractional coordinates):
Sm1 0.3334 0.6666 0.0000  3 Sm 3.55, 3 Y 3.55, 6 Ho 3.56-3.57
Sm2 0.6666 0.3334 0.0000  3 Sm 3.55, 3 Y 3.55, 6 Ho 3.56-3.57
Dy1 0.1665 0.8335 0.5000  6 Ho 3.53, 6 Dy 3.54-3.55
Dy2 0.8335 0.1665 0.5000  6 Ho 3.53, 6 Dy 3.54-3.55
Dy3 0.5000 0.5000 0.5000  6 Ho 3.53, 6 Dy 3.55
Y1 0.0000 0.0000 0.0000  6 Sm 3.55, 6 Ho 3.56-3.57
Ho1 0.9154 0.5818 0.7482  3 Dy 3.53, 6 Ho 3.55, 2 Sm 3.56-3.57, 1 Y 3.57
Ho2 0.7513 0.7513 0.2521  3 Dy 3.53, 6 Ho 3.55, 1 Y 3.56, 2 Sm 3.57
Ho3 0.0846 0.4182 0.2518  3 Dy 3.53, 6 Ho 3.55, 2 Sm 3.56-3.57, 1 Y 3.57
Ho4 0.5818 0.9154 0.7482  3 Dy 3.53, 6 Ho 3.55, 2 Sm 3.56-3.57, 1 Y 3.57
Ho5 0.2487 0.2487 0.7479  3 Dy 3.53, 6 Ho 3.55, 1 Y 3.56, 2 Sm 3.57
Ho6 0.4182 0.0846 0.2518  3 Dy 3.53, 6 Ho 3.55, 2 Sm 3.56-3.57, 1 Y 3.57

Values from the calculation:
Crystal system: monoclinic
Total moment in μB/f.u.: 0.000
Volume in Å³ per atom: 31.6
Formation energy from the elements in eV per atom: 0.02

***

Record 2
The following is a DFT calculation (PBE-GGA) of a relaxed SmDy5Y2Ho crystal.

Cell lengths 5.6179, 10.2807, 10.5803 Å; angles 90.00, 90.00, 105.86 degrees
Closest atoms and distances in Å follow each position.
Atoms (fractional coordinates):
Sm1 0.5848 0.1695 0.9553  5 Dy 3.04-3.25
Sm2 0.4152 0.8305 0.4553  5 Dy 3.04-3.25
Dy1 0.3894 0.7788 0.0223  6 Dy 3.46-3.81, 4 Y 3.54-3.60, 1 Ho 3.73
Dy2 0.7177 0.4354 0.8108  1 Sm 3.04, 1 Y 3.34
Dy3 0.4793 0.9586 0.7380  2 Sm 3.10-3.25, 1 Dy 3.46, 2 Y 3.47
Dy4 0.2986 0.5972 0.7076  4 Dy 3.41-3.78, 3 Ho 3.49-3.75, 3 Y 3.51-3.73, 1 Sm 3.53
Dy5 0.9808 0.9617 0.5244  2 Sm 3.18, 3 Y 3.40-3.56
Dy6 0.6106 0.2212 0.5223  6 Dy 3.46-3.81, 4 Y 3.54-3.60, 1 Ho 3.73
Dy7 0.2823 0.5646 0.3108  1 Sm 3.04, 1 Y 3.34
Dy8 0.5207 0.0414 0.2380  2 Sm 3.10-3.25, 1 Dy 3.46, 2 Y 3.47
Dy9 0.7014 0.4028 0.2076  4 Dy 3.41-3.78, 3 Ho 3.49-3.75, 3 Y 3.51-3.73, 1 Sm 3.53
Dy10 0.0192 0.0383 0.0244  2 Sm 3.18, 3 Y 3.40-3.56
Y1 0.8862 0.7725 0.8194  9 Dy 3.34-3.64, 1 Ho 3.69
Y2 0.1105 0.2211 0.7349  7 Dy 3.40-3.73, 1 Ho 3.43, 2 Sm 3.69
Y3 0.1138 0.2275 0.3194  9 Dy 3.34-3.64, 1 Ho 3.69
Y4 0.8895 0.7789 0.2349  7 Dy 3.40-3.73, 1 Ho 3.43, 2 Sm 3.69
Ho1 0.7991 0.5982 0.5112  2 Y 3.43-3.69, 8 Dy 3.49-3.75, 2 Sm 3.68
Ho2 0.2009 0.4018 0.0112  2 Y 3.43-3.69, 8 Dy 3.49-3.75, 2 Sm 3.68

Values from the calculation:
Crystal system: orthorhombic
Total moment in μB/f.u.: 0.000
Volume in Å³ per atom: 32.7
Formation energy from the elements in eV per atom: 0.15

***

Record 3
The following is a DFT calculation (PBE-GGA) of a relaxed Sm2Dy5YHo crystal.

Cell lengths 8.6168, 8.6168, 9.9197 Å; angles 115.74, 115.74, 90.00 degrees
Closest atoms and distances in Å follow each position.
Atoms (fractional coordinates):
Sm1 0.1177 0.3823 0.0000  1 Sm 2.87, 2 Dy 3.02
Sm2 0.6177 0.1177 0.0000  1 Sm 2.87, 2 Dy 3.02
Sm3 0.3823 0.8823 0.0000  1 Sm 2.87, 2 Dy 3.02
Sm4 0.8823 0.6177 0.0000  1 Sm 2.87, 2 Dy 3.02
Dy1 0.9284 0.4284 0.2786  1 Sm 3.02, 1 Ho 3.10
Dy2 0.6499 0.1499 0.7214  1 Sm 3.02, 1 Ho 3.10
Dy3 0.0716 0.5716 0.7214  1 Sm 3.02, 1 Ho 3.10
Dy4 0.1499 0.0716 0.7214  1 Sm 3.02, 1 Ho 3.10
Dy5 0.5716 0.6499 0.7214  1 Sm 3.02, 1 Ho 3.10
Dy6 0.8501 0.9284 0.2786  1 Sm 3.02, 1 Ho 3.10
Dy7 0.4284 0.3501 0.2786  1 Sm 3.02, 1 Ho 3.10
Dy8 0.3501 0.8501 0.2786  1 Sm 3.02, 1 Ho 3.10
Dy9 0.5000 0.5000 0.0000  4 Sm 3.45, 8 Dy 3.78
Dy10 0.0000 0.0000 0.0000  4 Sm 3.45, 8 Dy 3.78
Y1 0.2500 0.2500 0.5000  10 Dy 3.54-3.91
Y2 0.7500 0.7500 0.5000  10 Dy 3.54-3.91
Ho1 0.2500 0.7500 0.5000  4 Dy 3.10
Ho2 0.7500 0.2500 0.5000  4 Dy 3.10

Values from the calculation:
Crystal system: tetragonal
Total moment in μB/f.u.: 0.000
Volume in Å³ per atom: 32.3
Formation energy from the elements in eV per atom: 0.28